(1)
Compound: HgBiRh
Source: the Alexandria database
Functional: PBE
Structure: relaxed

## Properties
- E_tot (eV/atom) = -3.80
- symmetry = P1, No. 1
- ΔE to the lowest computed polymorph (eV per atom) = 0.062
- crystal system = triclinic
- ΔE_f (meV per atom) = 49.4
- calculated density (Mg/m³) = 11.8

Cell: 6.9860 6.9454 7.0316 Å, 69.47 65.44 86.47°
Last column: nearest neighbours and their distance in Å.
Fractional positions:
Rh 0.5129 0.0177 0.1751  3 Bi 2.67-2.69, 3 Hg 2.79-2.87, 1 Rh 2.96
Rh 0.9562 0.9785 0.8052  3 Bi 2.64-2.68, 3 Hg 2.76-2.88, 1 Rh 2.96
Rh 0.0566 0.5753 0.0559  3 Bi 2.70-2.90, 2 Rh 2.79-2.96, 4 Hg 2.80-2.93
Hg 0.6729 0.3312 0.2494  3 Rh 2.80-2.96, 1 Bi 3.08
Hg 0.1335 0.1866 0.3454  4 Rh 2.77-2.93
Bi 0.3183 0.6696 0.2306  3 Rh 2.67-2.80
Hg 0.3705 0.8369 0.6526  4 Rh 2.80-2.97
Rh 0.4642 0.4510 0.9408  3 Bi 2.74-2.78, 2 Rh 2.79-2.96, 4 Hg 2.86-2.97
Bi 0.8404 0.8425 0.2480  3 Rh 2.68-2.70
Hg 0.1687 0.2866 0.8258  3 Rh 2.76-2.92
Bi 0.6480 0.1815 0.7269  3 Rh 2.64-2.74
Bi 0.8652 0.6426 0.7444  3 Rh 2.67-2.90

(2)
Compound: HgBiRh2
Source: the Alexandria database
Functional: PBE
Structure: relaxed

## Properties
- E_tot (eV/atom) = -4.66
- symmetry = P4/mmm, No. 123
- crystal system = tetragonal
- ΔE_f (meV per atom) = 64.5
- calculated density (Mg/m³) = 13.7

Cell: 3.4086 3.4086 6.4038 Å, 90.00 90.00 90.00°
Last column: nearest neighbours and their distance in Å.
Fractional positions:
Rh 0.0000 0.0000 0.7520  4 Bi 2.89, 4 Hg 2.90, 2 Rh 3.18-3.23
Hg 0.5000 0.5000 0.5000  8 Rh 2.90, 2 Bi 3.20
Bi 0.5000 0.5000 0.0000  8 Rh 2.89, 2 Hg 3.20
Rh 0.0000 0.0000 0.2480  4 Bi 2.89, 4 Hg 2.90, 2 Rh 3.18-3.23

(3)
Compound: HgBi2Rh2
Source: the Alexandria database
Functional: PBE
Structure: relaxed

## Properties
- E_tot (eV/atom) = -4.34
- symmetry = I4/mmm, No. 139
- ΔE to the lowest computed polymorph (eV per atom) = 0.276
- crystal system = tetragonal
- ΔE_f (meV per atom) = 208.8
- calculated density (Mg/m³) = 11.2

Cell: 4.6967 4.6967 6.4530 Å, 68.66 68.66 90.00°
Last column: nearest neighbours and their distance in Å.
Fractional positions:
Hg 0.0000 0.0000 0.0000  8 Rh 3.56, 8 Bi 3.63
Bi 0.2500 0.7500 0.5000  4 Rh 2.78
Bi 0.7500 0.2500 0.5000  4 Rh 2.78
Rh 0.6154 0.6154 0.7691  1 Rh 2.55, 4 Bi 2.78
Rh 0.3846 0.3846 0.2309  1 Rh 2.55, 4 Bi 2.78

(4)
Compound: Hg2BiRh
Source: the Alexandria database
Functional: PBE
Structure: relaxed

## Properties
- E_tot (eV/atom) = -2.96
- symmetry = P4mm, No. 99
- crystal system = tetragonal
- ΔE_f (meV per atom) = -3.4
- calculated density (Mg/m³) = 12.5

Cell: 3.2590 3.2590 8.9497 Å, 90.00 90.00 90.00°
Last column: nearest neighbours and their distance in Å.
Fractional positions:
Hg 0.0000 0.0000 0.4765  4 Rh 2.94, 4 Hg 3.26
Rh 0.5000 0.5000 0.2733  4 Bi 2.84, 4 Hg 2.94
Hg 0.5000 0.5000 0.7548  8 Hg 3.26-3.39
Bi 0.0000 0.0000 0.0879  4 Rh 2.84

(5)
Compound: Hg2BiRh2
Source: the Alexandria database
Functional: PBE
Structure: relaxed

## Properties
- E_tot (eV/atom) = -3.72
- symmetry = P4/mbm, No. 127
- crystal system = tetragonal
- ΔE_f (meV per atom) = 113.7
- calculated density (Mg/m³) = 13.4

Cell: 7.1006 7.1006 4.0074 Å, 90.00 90.00 90.00°
Last column: nearest neighbours and their distance in Å.
Fractional positions:
Rh 0.3566 0.8566 0.0000  2 Bi 2.73, 6 Hg 2.86-2.91, 1 Rh 2.88
Rh 0.6434 0.1434 0.0000  2 Bi 2.73, 6 Hg 2.86-2.91, 1 Rh 2.88
Hg 0.6535 0.8465 0.5000  6 Rh 2.86-2.91, 1 Hg 3.08
Hg 0.1535 0.6535 0.5000  6 Rh 2.86-2.91, 1 Hg 3.08
Rh 0.8566 0.6434 0.0000  2 Bi 2.73, 6 Hg 2.86-2.91, 1 Rh 2.88
Hg 0.3465 0.1535 0.5000  6 Rh 2.86-2.91, 1 Hg 3.08
Hg 0.8465 0.3465 0.5000  6 Rh 2.86-2.91, 1 Hg 3.08
Bi 0.0000 0.0000 0.0000  4 Rh 2.73
Rh 0.1434 0.3566 0.0000  2 Bi 2.73, 6 Hg 2.86-2.91, 1 Rh 2.88
Bi 0.5000 0.5000 0.0000  4 Rh 2.73

(6)
Compound: HgBi2Rh2
Source: the Alexandria database
Functional: PBE
Structure: relaxed

## Properties
- E_tot (eV/atom) = -4.62
- symmetry = I4/mmm, No. 139
- ΔE to the lowest computed polymorph (eV per atom) = 0.000
- crystal system = tetragonal
- ΔE_f (meV per atom) = -67.5
- calculated density (Mg/m³) = 10.0

Cell: 4.0687 4.0687 8.7801 Å, 76.60 76.60 90.00°
Last column: nearest neighbours and their distance in Å.
Fractional positions:
Rh 0.7500 0.2500 0.5000  4 Bi 2.69, 4 Rh 2.88
Rh 0.2500 0.7500 0.5000  4 Bi 2.69, 4 Rh 2.88
Hg 0.0000 0.0000 0.0000  8 Bi 3.74, 4 Hg 4.07
Bi 0.6436 0.6436 0.7128  4 Rh 2.69
Bi 0.3564 0.3564 0.2872  4 Rh 2.69

(7)
Compound: Hg2BiRh
Source: the Alexandria database
Functional: PBE
Structure: relaxed

## Properties
- E_tot (eV/atom) = -2.92
- symmetry = P3m1, No. 156
- crystal system = trigonal
- ΔE_f (meV per atom) = 40.4
- calculated density (Mg/m³) = 11.9

Cell: 4.5239 4.5239 5.6250 Å, 90.00 90.00 120.00°
Last column: nearest neighbours and their distance in Å.
Fractional positions:
Bi 0.3333 0.6667 0.9031  3 Rh 2.78
Rh 0.0000 0.0000 0.7326  5 Hg 2.77-2.85, 3 Bi 2.78
Hg 0.0000 0.0000 0.2399  2 Rh 2.77-2.85, 3 Hg 3.09
Hg 0.6667 0.3333 0.5319  3 Rh 2.85, 3 Hg 3.09

(8)
Compound: HgBi2Rh2
Source: the Alexandria database
Functional: PBE
Structure: relaxed

## Properties
- E_tot (eV/atom) = -4.58
- symmetry = P4/mbm, No. 127
- ΔE to the lowest computed polymorph (eV per atom) = 0.037
- crystal system = tetragonal
- ΔE_f (meV per atom) = -30.1
- calculated density (Mg/m³) = 12.8

Cell: 7.7118 7.7118 3.6105 Å, 90.00 90.00 90.00°
Last column: nearest neighbours and their distance in Å.
Fractional positions:
Rh 0.3611 0.8611 0.0000  6 Bi 2.89, 2 Hg 2.98, 1 Rh 3.03
Hg 0.5000 0.5000 0.0000  4 Rh 2.98
Rh 0.1389 0.3611 0.0000  6 Bi 2.89, 2 Hg 2.98, 1 Rh 3.03
Bi 0.8461 0.3461 0.5000  6 Rh 2.89
Bi 0.3461 0.1539 0.5000  6 Rh 2.89
Rh 0.6389 0.1389 0.0000  6 Bi 2.89, 2 Hg 2.98, 1 Rh 3.03
Bi 0.1539 0.6539 0.5000  6 Rh 2.89
Bi 0.6539 0.8461 0.5000  6 Rh 2.89
Hg 0.0000 0.0000 0.0000  4 Rh 2.98
Rh 0.8611 0.6389 0.0000  6 Bi 2.89, 2 Hg 2.98, 1 Rh 3.03

(9)
Compound: Hg3BiRh
Source: the Alexandria database
Functional: PBE
Structure: relaxed

## Properties
- E_tot (eV/atom) = -2.04
- symmetry = Pm-3m, No. 221
- ΔE to the lowest computed polymorph (eV per atom) = 0.000
- crystal system = cubic
- ΔE_f (meV per atom) = 388.5
- calculated density (Mg/m³) = 10.8

Cell: 5.1938 5.1938 5.1938 Å, 90.00 90.00 90.00°
Last column: nearest neighbours and their distance in Å.
Fractional positions:
Hg 0.5000 0.0000 0.0000  2 Rh 2.60
Bi 0.5000 0.5000 0.5000  12 Hg 3.67
Rh 0.0000 0.0000 0.0000  6 Hg 2.60
Hg 0.0000 0.5000 0.0000  2 Rh 2.60
Hg 0.0000 0.0000 0.5000  2 Rh 2.60

(10)
Compound: HgBi2Rh
Source: the Alexandria database
Functional: PBE
Structure: relaxed

## Properties
- E_tot (eV/atom) = -3.95
- symmetry = P2/m, No. 10
- crystal system = monoclinic
- ΔE_f (meV per atom) = -96.5
- calculated density (Mg/m³) = 11.1

Cell: 3.3676 3.4036 9.4866 Å, 90.00 94.42 90.00°
Last column: nearest neighbours and their distance in Å.
Fractional positions:
Hg 0.7500 0.5000 0.2500  4 Hg 3.37-3.40, 4 Bi 3.52
Bi 0.7873 0.0000 0.9266  4 Rh 2.92
Bi 0.7127 0.0000 0.5734  4 Rh 2.92
Rh 0.2500 0.5000 0.7500  8 Bi 2.92

(11)
Compound: Hg2BiRh
Source: the Alexandria database
Functional: PBE
Structure: relaxed

## Properties
- E_tot (eV/atom) = -2.95
- symmetry = Amm2, No. 38
- crystal system = orthorhombic
- ΔE_f (meV per atom) = 13.0
- calculated density (Mg/m³) = 12.0

Cell: 3.1709 4.6592 13.4085 Å, 90.00 90.00 90.00°
Last column: nearest neighbours and their distance in Å.
Fractional positions:
Rh 0.5000 0.5000 0.8542  2 Bi 2.77, 6 Hg 2.82-2.87
Hg 0.0000 0.0000 0.1755  2 Rh 2.87, 2 Bi 3.09, 2 Hg 3.17
Hg 0.0000 0.0000 0.8412  4 Rh 2.82
Bi 0.0000 0.5000 0.0237  2 Rh 2.77, 2 Hg 3.09
Bi 0.0000 0.0000 0.5237  2 Rh 2.77, 2 Hg 3.09
Hg 0.0000 0.5000 0.6755  2 Rh 2.87, 2 Bi 3.09, 2 Hg 3.17
Hg 0.0000 0.5000 0.3412  4 Rh 2.82
Rh 0.5000 0.0000 0.3542  2 Bi 2.77, 6 Hg 2.82-2.87

(12)
Compound: HgBi12Rh4
Source: the Alexandria database
Functional: PBE
Structure: relaxed

## Properties
- E_tot (eV/atom) = -4.65
- symmetry = Im-3, No. 204
- crystal system = cubic
- ΔE_f (meV per atom) = -158.0
- calculated density (Mg/m³) = 11.0

Cell: 8.4888 8.4888 8.4888 Å, 109.47 109.47 109.47°
Last column: nearest neighbours and their distance in Å.
Fractional positions:
Rh 0.5000 0.5000 0.5000  6 Bi 2.74
Bi 0.5056 0.8417 0.6640  2 Rh 2.74
Bi 0.8417 0.3360 0.1777  2 Rh 2.74
Bi 0.1583 0.3360 0.4944  2 Rh 2.74
Bi 0.6640 0.8223 0.1583  2 Rh 2.74
Bi 0.1777 0.8417 0.3360  2 Rh 2.74
Rh 0.0000 0.5000 0.0000  6 Bi 2.74
Rh 0.0000 0.0000 0.5000  6 Bi 2.74
Bi 0.4944 0.1583 0.3360  2 Rh 2.74
Bi 0.8223 0.1583 0.6640  2 Rh 2.74
Rh 0.5000 0.0000 0.0000  6 Bi 2.74
Bi 0.6640 0.5056 0.8417  2 Rh 2.74
Hg 0.0000 0.0000 0.0000  12 Bi 3.64
Bi 0.3360 0.4944 0.1583  2 Rh 2.74
Bi 0.1583 0.6640 0.8223  2 Rh 2.74
Bi 0.8417 0.6640 0.5056  2 Rh 2.74
Bi 0.3360 0.1777 0.8417  2 Rh 2.74